Here is an optimized crystal structure of KSbRhI2 from the Alexandria database. Energies are from PBE.

Cell lengths 6.419, 6.419, 6.454 Å; angles 90.00, 90.00, 90.00 degrees
Element x y z (fractional)
I 0.000 0.500 0.000
I 0.500 0.000 0.000
Sb 0.000 0.000 0.500
K 0.000 0.000 0.000
Rh 0.500 0.500 0.500

Summary:
Energy relative to the elements, uncorrected: 1.091 eV/atom
ΔE to the lowest computed polymorph: 1.442 eV/atom
Symmetry: P4/mmm
Total magnetization: 4.67 μB/f.u.